Entry 1:
DFT (GGA-PBE) results for crystalline Na2MgAg at its relaxed geometry.

```
data_Na2MgAg
_symmetry_space_group_name_H-M 'I -4 2 d'
_symmetry_Int_Tables_number 122
_symmetry_space_group_name_Hall 'I -4 2bw'
_cell_length_a 8.671
_cell_length_b 8.671
_cell_length_c 5.778
_cell_angle_alpha 90.00
_cell_angle_beta 90.00
_cell_angle_gamma 90.00
loop_
_atom_site_label
_atom_site_fract_x
_atom_site_fract_y
_atom_site_fract_z
Na1 0.210 0.250 0.125
Mg1 0.000 0.000 0.500
Ag1 0.000 0.000 0.000
```

Output
- calculated total energy (eV/atom) = -1.619

=====

Entry 2:
DFT (GGA-PBE) results for crystalline TlAg2Pd2 at its relaxed geometry.

```
data_TlAg2Pd2
_symmetry_space_group_name_H-M 'P 1 21/c 1'
_symmetry_Int_Tables_number 14
_symmetry_space_group_name_Hall '-P 2ybc'
_cell_length_a 9.686
_cell_length_b 6.004
_cell_length_c 7.149
_cell_angle_alpha 90.00
_cell_angle_beta 111.00
_cell_angle_gamma 90.00
loop_
_atom_site_label
_atom_site_fract_x
_atom_site_fract_y
_atom_site_fract_z
Tl1 0.182 0.247 0.092
Ag1 0.187 0.745 0.088
Ag2 0.492 0.640 0.823
Pd1 0.006 0.001 0.754
Pd2 0.348 0.008 0.922
```

Output
- polymorph energy (0 for the lowest one) (meV per atom) = 47.3
- calculated total energy (eV/atom) = -3.703

=====

Entry 3:
DFT (GGA-PBE) results for crystalline DyPuO2 at its relaxed geometry.

```
data_DyPuO2
_symmetry_space_group_name_H-M 'R -3 m'
_symmetry_Int_Tables_number 166
_symmetry_space_group_name_Hall '-R 3 2"'
_cell_length_a 3.4190
_cell_length_b 3.4190
_cell_length_c 17.4977
_cell_angle_alpha 90.00
_cell_angle_beta 90.00
_cell_angle_gamma 120.00
loop_
_atom_site_label
_atom_site_fract_x
_atom_site_fract_y
_atom_site_fract_z
Dy1 0.0000 0.0000 0.0000
Pu1 0.0000 0.0000 0.5000
O1 0.0000 0.0000 0.2602
```

Output
- formation energy without anion corrections (eV/atom) = -2.677
- calculated total energy (eV/atom) = -9.890

=====

Entry 4:
DFT (GGA-PBE) results for crystalline BiPb2Cl at its relaxed geometry.

```
data_BiPb2Cl
_symmetry_space_group_name_H-M 'I -4 2 d'
_symmetry_Int_Tables_number 122
_symmetry_space_group_name_Hall 'I -4 2bw'
_cell_length_a 7.013
_cell_length_b 7.013
_cell_length_c 14.588
_cell_angle_alpha 90.00
_cell_angle_beta 90.00
_cell_angle_gamma 90.00
loop_
_atom_site_label
_atom_site_fract_x
_atom_site_fract_y
_atom_site_fract_z
Bi1 0.000 0.000 0.000
Pb1 0.232 0.250 0.625
Cl1 0.000 0.000 0.500
```

Output
- formation energy without anion corrections (eV/atom) = -0.167
- polymorph energy (0 for the lowest one) (meV per atom) = 184.5
- calculated total energy (eV/atom) = -3.453

=====

Entry 5:
DFT (GGA-PBE) results for crystalline TiV2Mo5 at its relaxed geometry.

```
data_TiV2Mo5
_symmetry_space_group_name_H-M 'I 4/m m m'
_symmetry_Int_Tables_number 139
_symmetry_space_group_name_Hall '-I 4 2'
_cell_length_a 6.234
_cell_length_b 6.234
_cell_length_c 6.250
_cell_angle_alpha 90.00
_cell_angle_beta 90.00
_cell_angle_gamma 90.00
loop_
_atom_site_label
_atom_site_fract_x
_atom_site_fract_y
_atom_site_fract_z
Ti1 0.000 0.000 0.000
V1 0.000 0.500 0.000
Mo1 0.000 0.000 0.500
Mo2 0.250 0.250 0.250
```

Output
- calculated total energy (eV/atom) = -10.146

=====

Entry 6:
DFT (GGA-PBE) results for crystalline Tc2AsSe at its relaxed geometry.

```
data_Tc2AsSe
_symmetry_space_group_name_H-M 'I -4 m 2'
_symmetry_Int_Tables_number 119
_symmetry_space_group_name_Hall 'I -4 -2'
_cell_length_a 3.987
_cell_length_b 3.987
_cell_length_c 7.849
_cell_angle_alpha 90.00
_cell_angle_beta 90.00
_cell_angle_gamma 90.00
loop_
_atom_site_label
_atom_site_fract_x
_atom_site_fract_y
_atom_site_fract_z
Tc1 0.000 0.000 0.000
Tc2 0.000 0.500 0.250
As1 0.000 0.500 0.750
Se1 0.000 0.000 0.500
```

Output
- formation energy without anion corrections (eV/atom) = 0.409
- polymorph energy (0 for the lowest one) (meV per atom) = 507.3
- calculated total energy (eV/atom) = -6.808

=====

Entry 7:
DFT (GGA-PBE) results for crystalline Ac6SbIr2Br3 at its relaxed geometry.

```
data_Ac6SbIr2Br3
_symmetry_space_group_name_H-M 'C 1 2/m 1'
_symmetry_Int_Tables_number 12
_symmetry_space_group_name_Hall '-C 2y'
_cell_length_a 7.881
_cell_length_b 13.641
_cell_length_c 8.518
_cell_angle_alpha 90.00
_cell_angle_beta 108.05
_cell_angle_gamma 90.00
loop_
_atom_site_label
_atom_site_fract_x
_atom_site_fract_y
_atom_site_fract_z
Ac1 0.203 0.000 0.202
Ac2 0.250 0.182 0.798
Sb1 0.000 0.500 0.000
Ir1 0.000 0.167 0.000
Br1 0.000 0.000 0.500
Br2 0.000 0.339 0.500
```

Output
- formation energy without anion corrections (eV/atom) = -1.171
- calculated total energy (eV/atom) = -5.464

=====

Entry 8:
DFT (GGA-PBE) results for crystalline La3PmDy2P6 at its relaxed geometry.

```
data_La3PmDy2P6
_symmetry_space_group_name_H-M 'C 1 2/m 1'
_symmetry_Int_Tables_number 12
_symmetry_space_group_name_Hall '-C 2y'
_cell_length_a 7.210
_cell_length_b 12.487
_cell_length_c 7.212
_cell_angle_alpha 90.00
_cell_angle_beta 109.46
_cell_angle_gamma 90.00
loop_
_atom_site_label
_atom_site_fract_x
_atom_site_fract_y
_atom_site_fract_z
La1 0.000 0.000 0.000
La2 0.000 0.334 0.000
Pm1 0.000 0.500 0.500
Dy1 0.000 0.167 0.500
P1 0.242 0.000 0.738
P2 0.248 0.331 0.739
```

Output
- calculated total energy (eV/atom) = -6.674

=====

Q: Which of these has the highest calculated total energy?
A: Na2MgAg

=====

Q: Which formula does entry 7 have?
A: Ac6SbIr2Br3

=====

Q: Among the records above, which one has the highest calculated total energy?
A: Na2MgAg

=====

Q: The lowest calculated total energy belongs to which entry?
A: TiV2Mo5